No. 1
A plane-wave DFT calculation with PBE was carried out for crystalline Pr4Ho4Mg at its relaxed geometry.

The structure belongs to space group P-1 (No. 2); the cell edges are 6.759, 8.512 and 10.891 Å and the angles 89.58°, 74.83° and 77.06°. The distinct sites, in fractional coordinates, are Pr at (0.050, 0.191, 0.167), Pr at (0.267, 0.467, 0.617), Pr at (0.389, 0.855, 0.937), Pr at (0.406, 0.860, 0.602), Ho at (0.040, 0.193, 0.494), Ho at (0.060, 0.195, 0.821), Ho at (0.273, 0.470, 0.958), Ho at (0.286, 0.485, 0.282) and Mg at (0.389, 0.856, 0.268).

The calculated formation energy comes out at 0.01 eV/atom. For the density of states at the Fermi level, the calculation gives 1.323 states/eV/atom.



No. 2
A plane-wave DFT calculation with PBE was carried out for crystalline Pr12Ho3Mg at its relaxed geometry.

The structure belongs to space group P4/mmm (No. 123); the cell edges are 5.153, 5.153 and 20.707 Å and the angles 90.00°, 90.00° and 90.00°. The distinct sites, in fractional coordinates, are Pr at (0.000, 0.000, 0.000), Pr at (0.000, 0.000, 0.248), Pr at (0.000, 0.000, 0.500), Pr at (0.000, 0.500, 0.123), Pr at (0.000, 0.500, 0.374), Ho at (0.500, 0.500, 0.248), Ho at (0.500, 0.500, 0.500) and Mg at (0.500, 0.500, 0.000).

The calculated formation energy comes out at 0.01 eV/atom. For the density of states at the Fermi level, the calculation gives 1.373 states/eV/atom.



No. 3
A plane-wave DFT calculation with PBE was carried out for crystalline Pr3HoMg at its relaxed geometry.

The structure belongs to space group Pmmn (No. 59, origin choice 2); the cell edges are 3.872, 10.758 and 8.252 Å and the angles 90.00°, 90.00° and 90.00°. The distinct sites, in fractional coordinates, are Pr at (0.250, 0.003, 0.235), Pr at (0.250, 0.750, 0.555), Ho at (0.250, 0.750, 0.945) and Mg at (0.250, 0.250, 0.758).

The calculated formation energy comes out at 0.11 eV/atom. For the density of states at the Fermi level, the calculation gives 1.595 states/eV/atom.